# BaMgBe2 | the Alexandria database | PBE-GGA | optimized geometry
data_BaMgBe2
_chemical_formula_sum 'Ba2 Mg2 Be4'
_cell_length_a 4.9855
_cell_length_b 4.9855
_cell_length_c 7.0049
_cell_angle_alpha 90.00
_cell_angle_beta 90.00
_cell_angle_gamma 90.00
_symmetry_space_group_name_H-M 'I -4 m 2'
_symmetry_Int_Tables_number 119
_symmetry_space_group_name_Hall 'I -4 -2'
loop_
_atom_site_label
_atom_site_fract_x
_atom_site_fract_y
_atom_site_fract_z
Ba1 0.0000 0.0000 0.0000
Mg1 0.0000 0.5000 0.7500
Be1 0.0000 0.0000 0.5000
Be2 0.0000 0.5000 0.2500
# mass density	3.427	g/cm3
# formation enthalpy at 0 K	0.7073	eV/atom
# volume	21.8	A^3/atom
# D(E_F)	3.47	states/eV per cell
# energy relative to the lowest polymorph listed for this composition	0.407	eV per atom